[1]
The following is a meta-GGA SCAN calculation of a PBEsol-optimized structure of Fe2SiTc, from Alexandria via LeMat-Bulk.

Cell: 2.661 2.661 6.223 Å, 90.00 90.00 90.00°
Fractional coordinates of all 4 atoms:
1 Si 0.500 0.500 0.000
2 Tc 0.500 0.500 0.500
3 Fe 0.000 0.000 0.778
4 Fe 0.000 0.000 0.222

Output
Formation energy from raw total energies, eV/f.u.: -0.6
SG: P4/mmm (123)

***

[2]
The following is a meta-GGA SCAN calculation of a PBEsol-optimized structure of Fe2SiTc, from Alexandria via LeMat-Bulk.

Cell: 2.614 3.758 4.931 Å, 90.00 105.38 90.00°
Each line ends with the local moment (μB).
Fractional coordinates of all 4 atoms:
1 Fe 0.951 0.000 0.027  2.60
2 Fe 0.554 0.500 0.234  1.97
3 Si 0.689 0.000 0.503  -0.07
4 Tc 0.305 0.500 0.735  -0.10

Output
Formation energy from raw total energies, eV/f.u.: -0.2
SG: Amm2 (38)

***

[3]
The following is a meta-GGA SCAN calculation of a PBEsol-optimized structure of FeSiTc, from Alexandria via LeMat-Bulk.

Cell: 2.648 3.941 3.941 Å, 120.00 90.00 90.00°
Fractional coordinates of all 3 atoms:
1 Fe 0.000 0.000 0.000
2 Si 0.000 0.333 0.667
3 Tc 0.500 0.667 0.333

Output
Formation energy from raw total energies, eV/f.u.: -0.4
SG: P-6m2 (187)

***

[4]
The following is a meta-GGA SCAN calculation of a PBEsol-optimized structure of FeSi2Te, from Alexandria via LeMat-Bulk.

Cell: 3.756 4.146 5.218 Å, 113.42 90.00 90.00°
Fractional coordinates of all 4 atoms:
1 Fe 0.500 0.250 0.124
2 Si 0.000 0.115 0.855
3 Si 0.500 0.710 0.045
4 Te 0.000 0.425 0.475

Output
Formation energy from raw total energies, eV/f.u.: 0.7
SG: Amm2 (38)

***

[5]
The following is a meta-GGA SCAN calculation of a PBEsol-optimized structure of FeSi3Te, from Alexandria via LeMat-Bulk.

Cell: 5.070 5.070 5.070 Å, 90.00 90.00 90.00°
Each line ends with the local moment (μB).
Fractional coordinates of all 5 atoms:
1 Si 0.000 0.500 0.000  -0.03
2 Si 0.000 0.000 0.500  -0.03
3 Si 0.500 0.000 0.000  -0.03
4 Te 0.000 0.000 0.000  -0.02
5 Fe 0.500 0.500 0.500  3.46

Output
Formation energy from raw total energies, eV/f.u.: 10.0
SG: Pm-3m (221)

***

[6]
The following is a meta-GGA SCAN calculation of a PBEsol-optimized structure of Fe2SiTe, from Alexandria via LeMat-Bulk.

Cell: 3.153 3.410 5.113 Å, 90.00 90.00 90.00°
Each line ends with the local moment (μB).
Fractional coordinates of all 4 atoms:
1 Fe 0.000 0.000 0.975  0.68
2 Fe 0.500 0.500 0.304  1.57
3 Si 0.000 0.000 0.426  -0.07
4 Te 0.500 0.500 0.795  -0.05

Output
Formation energy from raw total energies, eV/f.u.: 1.0
SG: Pmm2 (25)